## Tb3Ir (GGA-PBE)

Data for an optimized crystal structure of Tb3Ir.

Properties
For the energy relative to the elements, the calculation gives -0.51 eV/atom. The symmetry is No. 121.

Cell lengths 6.1603, 8.8344, 8.8344 Å; angles 83.02, 69.59, 69.59 degrees
Last column: nearest neighbours and their distance in Å.
Positions (direct):
Tb: 0.6012 0.0001 0.4068  2 Ir 2.87
Tb: 0.5001 0.3582 0.6416  4 Ir 2.94-3.17
Tb: 0.1506 0.0002 0.1904  2 Ir 2.98, 2 Tb 3.15-3.26
Tb: 0.1417 0.3584 0.3582  4 Ir 2.94-3.17
Tb: 0.8492 0.8096 0.0002  2 Ir 2.98, 2 Tb 3.15-3.26
Ir: 0.0002 0.2926 0.7072  8 Tb 2.87-3.17
Tb: 0.6590 0.1904 0.9998  2 Ir 2.98, 2 Tb 3.15-3.26
Ir: 0.2926 0.7072 0.7074  8 Tb 2.87-3.17
Tb: 0.3412 0.9998 0.8096  2 Ir 2.98, 2 Tb 3.15-3.26
Tb: 0.8583 0.6416 0.6418  4 Ir 2.94-3.17
Ir: 0.7072 0.2928 0.2926  8 Tb 2.87-3.17
Tb: 0.3987 0.5932 0.0001  2 Ir 2.87
Ir: 0.0000 0.7074 0.2928  8 Tb 2.87-3.17
Tb: 0.5000 0.6418 0.3584  4 Ir 2.94-3.17
Tb: 0.0081 0.9999 0.5932  2 Ir 2.87
Tb: 0.9920 0.4068 0.9999  2 Ir 2.87

---

## Tb4Ir (GGA-PBE)

Data for an optimized crystal structure of Tb4Ir.

Properties
For the energy relative to the elements, the calculation gives -0.39 eV/atom. The symmetry is No. 122.

Cell lengths 7.3168, 7.3168, 7.3158 Å; angles 107.59, 107.59, 113.32 degrees
Last column: nearest neighbours and their distance in Å.
Positions (direct):
Tb: 0.2672 0.5504 0.3221  1 Ir 2.70
Tb: 0.8004 0.0172 0.8221  1 Ir 2.70
Tb: 0.1951 0.9782 0.1779  1 Ir 2.70
Tb: 0.7157 0.3934 0.2828  1 Ir 2.70
Tb: 0.2282 0.9451 0.6779  1 Ir 2.70
Ir: 0.3303 0.3303 0.0000  4 Tb 2.70
Tb: 0.6434 0.4657 0.7828  1 Ir 2.70
Tb: 0.6828 0.8606 0.2172  1 Ir 2.70
Tb: 0.1106 0.4328 0.7172  1 Ir 2.70
Ir: 0.5803 0.0803 0.5000  4 Tb 2.70

---

## Tb3TeIr (GGA-PBE)

Data for an optimized crystal structure of Tb3TeIr.

Properties
The symmetry is No. 62. As for the uncorrected formation energy: -4.758 eV/f.u.

Cell lengths 4.3046, 7.6226, 16.7298 Å; angles 90.00, 90.00, 90.00 degrees
Last column: nearest neighbours and their distance in Å.
Positions (direct):
Te: 0.7500 0.8778 0.7991  6 Tb 3.06-3.28
Te: 0.7500 0.3778 0.7009  6 Tb 3.06-3.28
Tb: 0.7500 0.1354 0.0527  3 Ir 2.83-3.01
Te: 0.2500 0.1222 0.2009  6 Tb 3.06-3.28
Ir: 0.2500 0.7586 0.5421  7 Tb 2.80-3.01
Tb: 0.7500 0.3215 0.2943  1 Ir 2.80, 2 Te 3.06
Tb: 0.7500 0.9844 0.5899  3 Ir 2.87-2.95
Tb: 0.2500 0.5156 0.0899  3 Ir 2.87-2.95
Tb: 0.2500 0.1785 0.7943  1 Ir 2.80, 2 Te 3.06
Tb: 0.2500 0.8646 0.9473  3 Ir 2.83-3.01
Ir: 0.7500 0.2414 0.4579  7 Tb 2.80-3.01
Ir: 0.2500 0.2586 0.9579  7 Tb 2.80-3.01
Tb: 0.2500 0.6785 0.7057  1 Ir 2.80, 2 Te 3.06
Tb: 0.7500 0.8215 0.2057  1 Ir 2.80, 2 Te 3.06
Tb: 0.7500 0.4844 0.9101  3 Ir 2.87-2.95
Ir: 0.7500 0.7414 0.0421  7 Tb 2.80-3.01
Tb: 0.2500 0.0156 0.4101  3 Ir 2.87-2.95
Te: 0.2500 0.6222 0.2991  6 Tb 3.06-3.28
Tb: 0.7500 0.6354 0.4473  3 Ir 2.83-3.01
Tb: 0.2500 0.3646 0.5527  3 Ir 2.83-3.01

---

These records have calculated total energy values of -99.2; -58.7; -122.6 eV per cell, in the order they appear.